# 1
DFT (PBE) results for crystalline GdMgSe2 at its relaxed geometry.

a = 3.945 Å, b = 3.945 Å, c = 20.619 Å
α = 90.00°, β = 90.00°, γ = 120.00°
Atoms (fractional coordinates):
Gd  0.000  0.000  0.000
Gd  0.333  0.667  0.667
Gd  0.667  0.333  0.333
Mg  0.000  0.000  0.500
Mg  0.333  0.667  0.167
Mg  0.667  0.333  0.833
Se  0.000  0.000  0.242
Se  0.000  0.000  0.758
Se  0.333  0.667  0.425
Se  0.333  0.667  0.909
Se  0.667  0.333  0.091
Se  0.667  0.333  0.575

space-group type	No. 166
total magnetic moment	7.23	μB/f.u.
calculated volume	278	Å³/cell
uncorrected energy	-7.115	eV per atom
energy relative to the elements, uncorrected	-1.45	eV per atom



# 2
DFT (PBE) results for crystalline TlAsAu2 at its relaxed geometry.

a = 4.006 Å, b = 4.006 Å, c = 20.034 Å
α = 90.00°, β = 90.00°, γ = 120.00°
Atoms (fractional coordinates):
Tl  0.000  0.000  0.000
Tl  0.333  0.667  0.667
Tl  0.667  0.333  0.333
As  0.000  0.000  0.830
As  0.333  0.667  0.496
As  0.667  0.333  0.163
Au  0.000  0.000  0.235
Au  0.000  0.000  0.426
Au  0.333  0.667  0.093
Au  0.333  0.667  0.901
Au  0.667  0.333  0.568
Au  0.667  0.333  0.759

energy relative to the elements	0.110	eV per atom
space-group type	No. 160
total magnetic moment	0.00	μB/f.u.
calculated volume	278	Å³/cell
uncorrected energy	-3.283	eV per atom



# 3
DFT (PBE) results for crystalline TlI2NO at its relaxed geometry.

a = 6.558 Å, b = 6.558 Å, c = 3.954 Å
α = 90.00°, β = 90.00°, γ = 90.00°
Atoms (fractional coordinates):
Tl  0.000  0.000  0.000
I  0.000  0.500  0.000
I  0.500  0.000  0.000
N  0.500  0.500  0.500
O  0.000  0.000  0.500

E above lowest polymorph	122	meV per atom
space-group type	No. 123
total magnetic moment	3.44	μB/f.u.
calculated volume	170	Å³/cell
uncorrected energy	-2.657	eV per atom
energy relative to the elements, uncorrected	1.09	eV per atom



# 4
DFT (PBE) results for crystalline PmTm2Sc at its relaxed geometry.

a = 11.610 Å, b = 6.092 Å, c = 3.553 Å
α = 90.00°, β = 107.81°, γ = 90.00°
Atoms (fractional coordinates):
Pm  0.000  0.000  0.000
Pm  0.500  0.500  0.000
Tm  0.243  0.654  0.242
Tm  0.257  0.154  0.758
Tm  0.743  0.154  0.242
Tm  0.757  0.654  0.758
Sc  0.000  0.492  0.500
Sc  0.500  0.992  0.500

E above lowest polymorph	0	meV per atom
energy relative to the elements	0.021	eV per atom
space-group type	No. 5
total magnetic moment	0.00	μB/f.u.
calculated volume	239	Å³/cell
uncorrected energy	-4.985	eV per atom



> What is the uncorrected energy in the fourth record?

-4.985 eV per atom



> Among the records above, which one has the highest uncorrected energy?

TlI2NO



> Number 1 is which compound?

GdMgSe2



Copy entry 4 word for word.
DFT (PBE) results for crystalline PmTm2Sc at its relaxed geometry.

a = 11.610 Å, b = 6.092 Å, c = 3.553 Å
α = 90.00°, β = 107.81°, γ = 90.00°
Atoms (fractional coordinates):
Pm  0.000  0.000  0.000
Pm  0.500  0.500  0.000
Tm  0.243  0.654  0.242
Tm  0.257  0.154  0.758
Tm  0.743  0.154  0.242
Tm  0.757  0.654  0.758
Sc  0.000  0.492  0.500
Sc  0.500  0.992  0.500

E above lowest polymorph	0	meV per atom
energy relative to the elements	0.021	eV per atom
space-group type	No. 5
total magnetic moment	0.00	μB/f.u.
calculated volume	239	Å³/cell
uncorrected energy	-4.985	eV per atom